PRh4Pb | PBE | optimized geometry

Unit cell a=7.407 b=7.407 c=7.407 alpha=90.00 beta=90.00 gamma=90.00
Space group F-43m (No. 216)
Unique sites:
P  0.000  0.000  0.000 (multiplicity 4)
Rh  0.126  0.126  0.374 (multiplicity 16)
Pb  0.250  0.250  0.750 (multiplicity 4)

Summary:
* magnetic moment: 0.00 μB per formula unit
* formation energy: 396.9 meV per atom
* crystal system: cubic